[1]
{"formula": "MgTi2N3", "functional": "PBE-GGA", "state": "relaxed", "lattice": [[-2.8078, -4.3760, -0.6909], [1.2523, 1.5750, 4.8446], [-4.6093, 2.9192, 0.2425]], "species": ["Ti", "N", "N", "Mg", "N", "Ti", "N", "Mg", "N", "Ti", "N", "Ti"], "frac_coords": [[0.8333, 0.6667, 0.5000], [0.8960, 0.3960, 0.2500], [0.5000, 0.6040, 0.2500], [0.4999, 0.0000, 0.7500], [0.1041, 0.0000, 0.2500], [0.1667, 0.3333, 0.5000], [0.8959, 0.0000, 0.7500], [0.5001, 0.0000, 0.2500], [0.5000, 0.3960, 0.7500], [0.8333, 0.6667, 0.0000], [0.1040, 0.6040, 0.7500], [0.1667, 0.3333, 0.0000]], "sg": "P6_3/mcm (193)", "density_g_cm3": 4.14, "formation_energy_uncorrected_kcal_per_mol_atoms": -26.64}



[2]
{"formula": "CaCeAu4", "functional": "PBE-GGA", "state": "relaxed", "lattice": [[5.7310, 0.0000, 0.0000], [2.8655, 4.9632, 0.0000], [2.8655, 1.6544, 4.6793]], "species": ["Au", "Au", "Au", "Au", "Ce", "Ca"], "frac_coords": [[0.6245, 0.6245, 0.6245], [0.6245, 0.1266, 0.6245], [0.1266, 0.6245, 0.6245], [0.6245, 0.6245, 0.1266], [0.0000, 0.0000, 0.0000], [0.2500, 0.2500, 0.2500]], "sg": "F-43m (216)", "density_g_cm3": 12.08, "final_energy_ev_per_atom": -4.01}